The following is a PBE calculation of crystalline RbTlBiPd at its relaxed geometry, from Alexandria via LeMat-Bulk.

Cell: 4.6818 4.6818 7.6803 Å, 72.25 72.25 60.00°
Last column: nearest neighbours and their distance in Å.
Fractional coordinates of all 4 atoms:
Tl: 0.0244 0.0244 0.9269  3 Pd 3.03, 3 Bi 3.37
Rb: 0.8098 0.8098 0.5705  3 Tl 3.72, 3 Bi 3.76, 1 Pd 3.93
Pd: 0.6275 0.6275 0.1175  3 Bi 2.78, 3 Tl 3.03
Bi: 0.2642 0.2642 0.2075  3 Pd 2.78

Values from the calculation:
volume: 136.5 Å³/cell
SG: No. 160
energy of formation: -1.04 eV per formula unit
uncorrected energy: -3.362 eV per atom